# LaCoNi2

A relaxed LaCoNi2 crystal (PBE, Alexandria).

Lattice parameters (Å, degrees): 3.9828 3.9796 3.9325 90.00 90.00 90.00
With the nearest neighbours (Å) after each atom.
Positions (direct):
Co  0.5000  0.0000  0.5000  8 Ni 2.80, 4 La 2.82
La  0.0000  0.5000  0.5000  8 Ni 2.80, 4 Co 2.82
Ni  0.0000  0.0000  0.0000  4 La 2.80, 4 Co 2.80, 4 Ni 2.82
Ni  0.5000  0.5000  0.0000  4 Co 2.80, 4 La 2.80, 4 Ni 2.82

## Properties
The total energy is -5.799 eV per atom. The density of states at the Fermi level is 1.390 states/eV/atom. The formation energy from the elements comes out at 0.399 eV/f.u.

---

# Ac3NdMg2

A relaxed Ac3NdMg2 crystal (PBE, Alexandria).

Lattice parameters (Å, degrees): 4.0398 4.0398 13.5537 90.00 90.00 90.00
With the nearest neighbours (Å) after each atom.
Positions (direct):
Ac  0.0000  0.0000  0.0000  8 Mg 3.55
Ac  0.0000  0.0000  0.6902  4 Mg 3.54, 4 Nd 3.85
Ac  0.0000  0.0000  0.3098  4 Mg 3.54, 4 Nd 3.85
Nd  0.5000  0.5000  0.5000  8 Ac 3.85, 4 Nd 4.04
Mg  0.5000  0.5000  0.8444  8 Ac 3.54-3.55
Mg  0.5000  0.5000  0.1556  8 Ac 3.54-3.55

## Properties
The total energy is -3.418 eV per atom. The density of states at the Fermi level is 1.131 states/eV/atom. The formation energy from the elements comes out at -0.228 eV/f.u.

---

# Ac3TlCu

A relaxed Ac3TlCu crystal (PBE, Alexandria).

Lattice parameters (Å, degrees): 4.1358 9.2547 9.4792 91.13 89.96 102.87
With the nearest neighbours (Å) after each atom.
Positions (direct):
Ac  0.0662  0.1644  0.4131  4 Tl 3.58-3.65, 1 Cu 3.85
Ac  0.4154  0.8647  0.6631  3 Cu 3.05-3.19
Ac  0.6281  0.2891  0.7587  3 Cu 3.05-3.18
Ac  0.9782  0.9900  0.0088  4 Tl 3.58-3.65, 1 Cu 3.86
Ac  0.2759  0.5851  0.0107  3 Cu 3.16-3.41, 2 Tl 3.53
Ac  0.7682  0.5692  0.4107  3 Cu 3.16-3.41, 2 Tl 3.53
Tl  0.4119  0.8561  0.2873  8 Ac 3.53-3.65
Tl  0.6329  0.2983  0.1344  8 Ac 3.53-3.65
Cu  0.2392  0.5114  0.6563  2 Cu 2.58
Cu  0.8038  0.6419  0.7647  2 Cu 2.58

## Properties
The total energy is -3.932 eV per atom. The density of states at the Fermi level is 1.329 states/eV/atom. The formation energy from the elements comes out at -0.870 eV/f.u. The calculation puts the energy above the most stable polymorph in this dataset at 0.0 kJ/mol of formula units.